This record from Alexandria via LeMat-Bulk describes a geometry-optimized RbSmCd4 structure. The functional is PBE-GGA.

Cell and atoms, written as CIF:
```
data_RbSmCd4
_chemical_formula_sum 'Rb4 Sm4 Cd16'
_symmetry_space_group_name_H-M 'F -4 3 m'
_symmetry_Int_Tables_number 216
_symmetry_space_group_name_Hall 'F -4 2 3'
_cell_length_a 8.755
_cell_length_b 8.755
_cell_length_c 8.755
_cell_angle_alpha 90.00
_cell_angle_beta 90.00
_cell_angle_gamma 90.00
loop_
_atom_site_label
_atom_site_fract_x
_atom_site_fract_y
_atom_site_fract_z
Rb1 0.000 0.000 0.000
Sm1 0.250 0.250 0.250
Cd1 0.124 0.124 0.624
```

Results
**Formation enthalpy at 0 K**: -0.019 eV/atom

***

This record from Alexandria via LeMat-Bulk describes a geometry-optimized TbNd3Zn structure. The functional is PBE-GGA.

Cell and atoms, written as CIF:
```
data_TbNd3Zn
_chemical_formula_sum 'Tb4 Nd12 Zn4'
_symmetry_space_group_name_H-M 'C 1 2/m 1'
_symmetry_Int_Tables_number 12
_cell_length_a 12.012
_cell_length_b 9.080
_cell_length_c 7.934
_cell_angle_alpha 90.00
_cell_angle_beta 130.78
_cell_angle_gamma 90.00
loop_
_symmetry_equiv_pos_as_xyz
'x,y,z'
'-x,-y,-z'
'-x,y,-z'
'x,-y,z'
'x+1/2,y+1/2,z'
'-x+1/2,-y+1/2,-z'
'-x+1/2,y+1/2,-z'
'x+1/2,-y+1/2,z'
loop_
_atom_site_label
_atom_site_fract_x
_atom_site_fract_y
_atom_site_fract_z
Tb1 0.064 0.000 0.265
Nd1 0.054 0.500 0.325
Nd2 0.226 0.192 0.756
Zn1 0.244 0.000 0.117
```

Results
**Formation enthalpy at 0 K**: 0.058 eV/atom

***

This record from Alexandria via LeMat-Bulk describes a geometry-optimized Ba6TlTe2I3 structure. The functional is PBE-GGA.

Cell and atoms, written as CIF:
```
data_Ba6TlTe2I3
_chemical_formula_sum 'Ba12 Tl2 Te4 I6'
_symmetry_space_group_name_H-M 'C 1 2/m 1'
_symmetry_Int_Tables_number 12
_cell_length_a 8.816
_cell_length_b 15.258
_cell_length_c 8.801
_cell_angle_alpha 90.00
_cell_angle_beta 109.42
_cell_angle_gamma 90.00
loop_
_symmetry_equiv_pos_as_xyz
'x,y,z'
'-x,-y,-z'
'-x,y,-z'
'x,-y,z'
'x+1/2,y+1/2,z'
'-x+1/2,-y+1/2,-z'
'-x+1/2,y+1/2,-z'
'x+1/2,-y+1/2,z'
loop_
_atom_site_label
_atom_site_fract_x
_atom_site_fract_y
_atom_site_fract_z
Ba1 0.236 0.162 0.222
Ba2 0.249 0.000 0.774
Tl1 0.000 0.000 0.000
Te1 0.000 0.334 0.000
I1 0.000 0.174 0.500
I2 0.000 0.500 0.500
```

Results
**Formation energy from raw total energies**: -1.347 eV/atom

***

This record from Alexandria via LeMat-Bulk describes a geometry-optimized Sr3Pt4 structure. The functional is PBE-GGA.

Cell and atoms, written as CIF:
```
data_Sr3Pt4
_chemical_formula_sum 'Sr6 Pt8'
_symmetry_space_group_name_H-M 'I 4/m m m'
_symmetry_Int_Tables_number 139
_symmetry_space_group_name_Hall '-I 4 2'
_cell_length_a 4.071
_cell_length_b 4.071
_cell_length_c 21.376
_cell_angle_alpha 90.00
_cell_angle_beta 90.00
_cell_angle_gamma 90.00
loop_
_atom_site_label
_atom_site_fract_x
_atom_site_fract_y
_atom_site_fract_z
Sr1 0.000 0.000 0.000
Sr2 0.000 0.000 0.306
Pt1 0.000 0.000 0.147
Pt2 0.000 0.000 0.439
```

Results
**Formation enthalpy at 0 K**: -0.285 eV/atom

***

This record from Alexandria via LeMat-Bulk describes a geometry-optimized BaMnHg structure. The functional is PBE-GGA.

Cell and atoms, written as CIF:
```
data_BaMnHg
_chemical_formula_sum 'Ba1 Mn1 Hg1'
_symmetry_space_group_name_H-M 'P -6 m 2'
_symmetry_Int_Tables_number 187
_symmetry_space_group_name_Hall 'P -6 2'
_cell_length_a 4.8166
_cell_length_b 4.8166
_cell_length_c 4.7036
_cell_angle_alpha 90.00
_cell_angle_beta 90.00
_cell_angle_gamma 120.00
loop_
_atom_site_label
_atom_site_fract_x
_atom_site_fract_y
_atom_site_fract_z
Ba1 0.0000 0.0000 0.0000
Mn1 0.3333 0.6667 0.5000
Hg1 0.6667 0.3333 0.5000
```

Results
**Formation enthalpy at 0 K**: 0.107 eV/atom

***

This record from Alexandria via LeMat-Bulk describes a geometry-optimized Ac2NdNi2I2 structure. The functional is PBE-GGA.

Cell and atoms, written as CIF:
```
data_Ac2NdNi2I2
_chemical_formula_sum 'Ac4 Nd2 Ni4 I4'
_symmetry_space_group_name_H-M 'I 4/m m m'
_symmetry_Int_Tables_number 139
_symmetry_space_group_name_Hall '-I 4 2'
_cell_length_a 5.045
_cell_length_b 5.045
_cell_length_c 17.925
_cell_angle_alpha 90.00
_cell_angle_beta 90.00
_cell_angle_gamma 90.00
loop_
_atom_site_label
_atom_site_fract_x
_atom_site_fract_y
_atom_site_fract_z
Ac1 0.000 0.000 0.110
Nd1 0.000 0.000 0.500
Ni1 0.000 0.500 0.000
I1 0.000 0.000 0.310
```

Results
**Formation energy from raw total energies**: -0.605 eV/atom

***

This record from Alexandria via LeMat-Bulk describes a geometry-optimized MnInPt6 structure. The functional is PBE-GGA.

Cell and atoms, written as CIF:
```
data_MnInPt6
_chemical_formula_sum 'Mn1 In1 Pt6'
_symmetry_space_group_name_H-M 'P 4/m m m'
_symmetry_Int_Tables_number 123
_symmetry_space_group_name_Hall '-P 4 2'
_cell_length_a 3.994
_cell_length_b 3.994
_cell_length_c 7.970
_cell_angle_alpha 90.00
_cell_angle_beta 90.00
_cell_angle_gamma 90.00
loop_
_atom_site_label
_atom_site_fract_x
_atom_site_fract_y
_atom_site_fract_z
Mn1 0.000 0.000 0.000
In1 0.000 0.000 0.500
Pt1 0.000 0.500 0.240
Pt2 0.500 0.500 0.000
Pt3 0.500 0.500 0.500
```

Results
**Formation enthalpy at 0 K**: -0.361 eV/atom

***

This record from Alexandria via LeMat-Bulk describes a geometry-optimized La2YTh6 structure. The functional is PBE-GGA.

Cell and atoms, written as CIF:
```
data_La2YTh6
_chemical_formula_sum 'La2 Y1 Th6'
_symmetry_space_group_name_H-M 'P -6 m 2'
_symmetry_Int_Tables_number 187
_symmetry_space_group_name_Hall 'P -6 2'
_cell_length_a 3.5652
_cell_length_b 3.5652
_cell_length_c 27.3220
_cell_angle_alpha 90.00
_cell_angle_beta 90.00
_cell_angle_gamma 120.00
loop_
_atom_site_label
_atom_site_fract_x
_atom_site_fract_y
_atom_site_fract_z
La1 0.0000 0.0000 0.1718
Y1 0.3333 0.6667 0.5000
Th1 0.0000 0.0000 0.3919
Th2 0.3333 0.6667 0.0601
Th3 0.3333 0.6667 0.2851
```

Results
**Formation enthalpy at 0 K**: 0.104 eV/atom

***

DOS(E_F) in states/eV/cell, matching the order above: 24.35; 30.14; 22.42; 4.89; 3.70; 10.81; 9.38; 16.22
Total magnetization in μB/cell, matching the order above: 0.0; 0.0; 0.0; 0.0; 3.6; 0.0; 4.5; 0.0